# 1
Below is LaSm10Tm6 after structural relaxation, with properties calculated at the PBE level.

Output
total DFT energy (no corrections): -4.51 eV per atom
symmetry: No. 162
energy of formation: 137 meV per atom
D(E_F): 26.4 states/eV/f.u.
spin magnetization: 0.00 μB/cell

a b c (Å): 9.761 9.761 6.865
angles (deg): 90.00 90.00 120.00
Sites, in units of the cell vectors:
La  0.000  0.000  0.000
Sm  0.000  0.280  0.322
Sm  0.000  0.720  0.678
Sm  0.280  0.000  0.322
Sm  0.280  0.280  0.678
Sm  0.333  0.667  0.000
Sm  0.333  0.667  0.500
Sm  0.667  0.333  0.000
Sm  0.667  0.333  0.500
Sm  0.720  0.000  0.678
Sm  0.720  0.720  0.322
Tm  0.000  0.371  0.812
Tm  0.000  0.629  0.188
Tm  0.371  0.000  0.812
Tm  0.371  0.371  0.188
Tm  0.629  0.000  0.188
Tm  0.629  0.629  0.812



# 2
Below is ZrReBr after structural relaxation, with properties calculated at the PBE level.

Output
total DFT energy (no corrections): -6.50 eV per atom
symmetry: No. 216
energy relative to the elements, uncorrected: 1053 meV/atom
D(E_F): 3.7 states/eV/f.u.
spin magnetization: 0.52 μB/cell

a b c (Å): 4.580 4.580 4.580
angles (deg): 60.00 60.00 60.00
Sites, in units of the cell vectors:
Zr  0.000  0.000  0.000
Re  0.750  0.750  0.750
Br  0.250  0.250  0.250



# 3
Below is KSbMo2 after structural relaxation, with properties calculated at the PBE level.

Output
total DFT energy (no corrections): -6.07 eV per atom
symmetry: No. 12
energy relative to the elements, uncorrected: 648 meV/atom
D(E_F): 2.6 states/eV/f.u.
spin magnetization: 0.00 μB/cell

a b c (Å): 5.393 5.393 6.445
angles (deg): 97.54 97.54 36.07
Sites, in units of the cell vectors:
K  0.000  0.000  0.000
Sb  0.500  0.500  0.500
Mo  0.230  0.230  0.622
Mo  0.770  0.770  0.378



# 4
Below is K2CuOs2 after structural relaxation, with properties calculated at the PBE level.

Output
total DFT energy (no corrections): -3.72 eV per atom
symmetry: No. 139
energy of formation: 2029 meV per atom
D(E_F): 6.2 states/eV/f.u.
spin magnetization: 2.63 μB/cell

a b c (Å): 8.127 8.127 8.127
angles (deg): 152.91 152.91 38.69
Sites, in units of the cell vectors:
K  0.250  0.750  0.500
K  0.750  0.250  0.500
Cu  0.000  0.000  0.000
Os  0.427  0.427  0.000
Os  0.573  0.573  0.000



# 5
Below is Be3Ag after structural relaxation, with properties calculated at the PBE level.

Output
total DFT energy (no corrections): -3.18 eV per atom
symmetry: No. 187
energy of formation: 330 meV per atom
D(E_F): 1.6 states/eV/f.u.
spin magnetization: 0.00 μB/cell

a b c (Å): 2.629 2.629 7.631
angles (deg): 90.00 90.00 120.00
Sites, in units of the cell vectors:
Be  0.000  0.000  0.000
Be  0.667  0.333  0.223
Be  0.667  0.333  0.777
Ag  0.000  0.000  0.500



# 6
Below is Tm2PuP3 after structural relaxation, with properties calculated at the PBE level.

Output
total DFT energy (no corrections): -8.03 eV per atom
symmetry: No. 139
energy of formation: -1444 meV per atom
D(E_F): 9.6 states/eV/f.u.
spin magnetization: 4.90 μB/cell

a b c (Å): 8.844 8.844 8.844
angles (deg): 154.11 154.11 36.94
Sites, in units of the cell vectors:
Tm  0.168  0.168  0.000
Tm  0.832  0.832  0.000
Pu  0.500  0.500  0.000
P  0.000  0.000  0.000
P  0.333  0.333  0.000
P  0.667  0.667  0.000



# 7
Below is NaCd3In4 after structural relaxation, with properties calculated at the PBE level.

Output
total DFT energy (no corrections): -1.88 eV per atom
symmetry: No. 12
energy of formation: -5 meV per atom
D(E_F): 2.8 states/eV/f.u.
spin magnetization: 0.00 μB/cell

a b c (Å): 10.294 10.294 5.647
angles (deg): 94.10 94.10 20.16
Sites, in units of the cell vectors:
Na  0.000  0.000  0.000
Cd  0.376  0.376  0.133
Cd  0.500  0.500  0.500
Cd  0.624  0.624  0.867
In  0.124  0.124  0.368
In  0.248  0.248  0.753
In  0.752  0.752  0.247
In  0.876  0.876  0.632



# 8
Below is Pu2ThP after structural relaxation, with properties calculated at the PBE level.

Output
total DFT energy (no corrections): -10.39 eV per atom
symmetry: No. 225
energy of formation: -21 meV per atom
D(E_F): 11.3 states/eV/f.u.
spin magnetization: 12.41 μB/cell

a b c (Å): 5.049 5.049 5.049
angles (deg): 60.00 60.00 60.00
Sites, in units of the cell vectors:
Pu  0.250  0.250  0.250
Pu  0.750  0.750  0.750
Th  0.000  0.000  0.000
P  0.500  0.500  0.500



# 9
Below is AcNdPdRh after structural relaxation, with properties calculated at the PBE level.

Output
total DFT energy (no corrections): -6.01 eV per atom
symmetry: No. 216
energy of formation: -659 meV per atom
D(E_F): 2.4 states/eV/f.u.
spin magnetization: 0.00 μB/cell

a b c (Å): 5.185 5.185 5.185
angles (deg): 60.00 60.00 60.00
Sites, in units of the cell vectors:
Ac  0.000  0.000  0.000
Nd  0.500  0.500  0.500
Pd  0.250  0.250  0.250
Rh  0.750  0.750  0.750



# 10
Below is AlCdOs2 after structural relaxation, with properties calculated at the PBE level.

Output
total DFT energy (no corrections): -6.47 eV per atom
symmetry: No. 8
energy of formation: 308 meV per atom
D(E_F): 2.7 states/eV/f.u.
spin magnetization: 0.00 μB/cell

a b c (Å): 4.897 4.897 4.775
angles (deg): 101.27 101.27 34.24
Sites, in units of the cell vectors:
Al  0.000  0.000  0.000
Cd  0.770  0.770  0.265
Os  0.261  0.261  0.758
Os  0.531  0.531  0.546



# 11
Below is Pm2ErRh2 after structural relaxation, with properties calculated at the PBE level.

Output
total DFT energy (no corrections): -6.41 eV per atom
symmetry: No. 12
energy of formation: -656 meV per atom
D(E_F): 4.0 states/eV/f.u.
spin magnetization: 0.00 μB/cell

a b c (Å): 6.765 6.765 11.373
angles (deg): 118.07 118.07 33.11
Sites, in units of the cell vectors:
Pm  0.042  0.042  0.191
Pm  0.159  0.159  0.576
Pm  0.841  0.841  0.424
Pm  0.958  0.958  0.809
Er  0.295  0.295  0.137
Er  0.705  0.705  0.863
Rh  0.375  0.375  0.943
Rh  0.492  0.492  0.624
Rh  0.508  0.508  0.376
Rh  0.625  0.625  0.057



# 12
Below is CsH2AuF8 after structural relaxation, with properties calculated at the PBE level.

Output
total DFT energy (no corrections): -3.67 eV per atom
symmetry: No. 2
D(E_F): 0.0 states/eV/f.u.
spin magnetization: 0.00 μB/cell

a b c (Å): 5.188 5.201 8.422
angles (deg): 78.54 78.48 67.24
Sites, in units of the cell vectors:
Cs  0.000  0.000  0.000
H  0.301  0.301  0.246
H  0.699  0.699  0.754
Au  0.000  0.000  0.500
F  0.227  0.759  0.669
F  0.233  0.233  0.441
F  0.242  0.773  0.331
F  0.328  0.328  0.128
F  0.672  0.672  0.872
F  0.758  0.227  0.669
F  0.767  0.767  0.559
F  0.773  0.241  0.331



What did we get for V? Answer: 566.5 68.0 109.3 111.1 45.7 131.7 205.7 91.0 98.6 63.1 123.8 203.5 Å³/f.u., in the order shown.